A.
# Ta2MnAuS PBE-GGA relaxed
# M_tot   0.02 μB per atom
data_Ta2MnAuS
_cell_length_a 4.510
_cell_length_b 4.510
_cell_length_c 4.559
_cell_angle_alpha 90.00
_cell_angle_beta 90.00
_cell_angle_gamma 90.00
_symmetry_space_group_name_H-M 'P 4/m m m'
_symmetry_Int_Tables_number 123
_symmetry_space_group_name_Hall '-P 4 2'
loop_
_atom_site_label
_atom_site_type_symbol
_atom_site_fract_x
_atom_site_fract_y
_atom_site_fract_z
Ta1 Ta 0.000 0.500 0.000
Mn1 Mn 0.000 0.000 0.500
Au1 Au 0.500 0.500 0.500
S1 S 0.500 0.500 0.000

=====

B.
# Ta2MnAuS PBE-GGA relaxed
# M_tot   0.00 μB per atom
data_Ta2MnAuS
_cell_length_a 4.569
_cell_length_b 4.569
_cell_length_c 4.734
_cell_angle_alpha 90.00
_cell_angle_beta 90.00
_cell_angle_gamma 90.00
_symmetry_space_group_name_H-M 'P 4/m m m'
_symmetry_Int_Tables_number 123
_symmetry_space_group_name_Hall '-P 4 2'
loop_
_atom_site_label
_atom_site_type_symbol
_atom_site_fract_x
_atom_site_fract_y
_atom_site_fract_z
Ta1 Ta 0.000 0.500 0.000
Mn1 Mn 0.000 0.000 0.000
Au1 Au 0.000 0.000 0.500
S1 S 0.500 0.500 0.500

=====

List of relative energies, unit kJ/mol of atoms: A 0.0; B 12.5

=====

A.
# MnSb3Au PBE-GGA relaxed
# M_tot   0.85 μB per atom
data_MnSb3Au
_cell_length_a 5.385
_cell_length_b 5.385
_cell_length_c 5.385
_cell_angle_alpha 90.00
_cell_angle_beta 90.00
_cell_angle_gamma 90.00
_symmetry_space_group_name_H-M 'P m -3 m'
_symmetry_Int_Tables_number 221
_symmetry_space_group_name_Hall '-P 4 2 3'
loop_
_atom_site_label
_atom_site_type_symbol
_atom_site_fract_x
_atom_site_fract_y
_atom_site_fract_z
Mn1 Mn 0.000 0.000 0.000
Sb1 Sb 0.000 0.500 0.500
Au1 Au 0.500 0.500 0.500

=====

B.
# MnSb3Au PBE-GGA relaxed
# M_tot   0.30 μB per atom
data_MnSb3Au
_cell_length_a 4.972
_cell_length_b 4.972
_cell_length_c 4.972
_cell_angle_alpha 90.00
_cell_angle_beta 90.00
_cell_angle_gamma 90.00
_symmetry_space_group_name_H-M 'P m -3 m'
_symmetry_Int_Tables_number 221
_symmetry_space_group_name_Hall '-P 4 2 3'
loop_
_atom_site_label
_atom_site_type_symbol
_atom_site_fract_x
_atom_site_fract_y
_atom_site_fract_z
Mn1 Mn 0.000 0.000 0.000
Sb1 Sb 0.000 0.000 0.500
Au1 Au 0.500 0.500 0.500

=====

List of relative energies, unit kJ/mol of atoms: A 45.3; B 0.0

=====

A.
# MnSbTe2Au PBE-GGA relaxed
# M_tot   0.00 μB per atom
data_MnSbTe2Au
_cell_length_a 5.006
_cell_length_b 5.006
_cell_length_c 4.967
_cell_angle_alpha 90.00
_cell_angle_beta 90.00
_cell_angle_gamma 90.00
_symmetry_space_group_name_H-M 'P 4/m m m'
_symmetry_Int_Tables_number 123
_symmetry_space_group_name_Hall '-P 4 2'
loop_
_atom_site_label
_atom_site_type_symbol
_atom_site_fract_x
_atom_site_fract_y
_atom_site_fract_z
Mn1 Mn 0.000 0.000 0.000
Sb1 Sb 0.000 0.000 0.500
Te1 Te 0.000 0.500 0.000
Au1 Au 0.500 0.500 0.500

=====

B.
# MnSbTe2Au PBE-GGA relaxed
# M_tot   0.92 μB per atom
data_MnSbTe2Au
_cell_length_a 5.539
_cell_length_b 5.539
_cell_length_c 5.236
_cell_angle_alpha 90.00
_cell_angle_beta 90.00
_cell_angle_gamma 90.00
_symmetry_space_group_name_H-M 'P 4/m m m'
_symmetry_Int_Tables_number 123
_symmetry_space_group_name_Hall '-P 4 2'
loop_
_atom_site_label
_atom_site_type_symbol
_atom_site_fract_x
_atom_site_fract_y
_atom_site_fract_z
Mn1 Mn 0.000 0.000 0.000
Sb1 Sb 0.500 0.500 0.000
Te1 Te 0.000 0.500 0.500
Au1 Au 0.500 0.500 0.500

=====

List of relative energies, unit kJ/mol of atoms: A 0.0; B 22.2

=====

A.
# ScMn3Au PBE-GGA relaxed
# M_tot   2.41 μB per atom
data_ScMn3Au
_cell_length_a 4.901
_cell_length_b 4.901
_cell_length_c 4.901
_cell_angle_alpha 90.00
_cell_angle_beta 90.00
_cell_angle_gamma 90.00
_symmetry_space_group_name_H-M 'P m -3 m'
_symmetry_Int_Tables_number 221
_symmetry_space_group_name_Hall '-P 4 2 3'
loop_
_atom_site_label
_atom_site_type_symbol
_atom_site_fract_x
_atom_site_fract_y
_atom_site_fract_z
Sc1 Sc 0.000 0.000 0.000
Mn1 Mn 0.000 0.500 0.500
Au1 Au 0.500 0.500 0.500

=====

B.
# ScMn3Au PBE-GGA relaxed
# M_tot   1.93 μB per atom
data_ScMn3Au
_cell_length_a 4.563
_cell_length_b 4.563
_cell_length_c 4.563
_cell_angle_alpha 90.00
_cell_angle_beta 90.00
_cell_angle_gamma 90.00
_symmetry_space_group_name_H-M 'P m -3 m'
_symmetry_Int_Tables_number 221
_symmetry_space_group_name_Hall '-P 4 2 3'
loop_
_atom_site_label
_atom_site_type_symbol
_atom_site_fract_x
_atom_site_fract_y
_atom_site_fract_z
Sc1 Sc 0.000 0.000 0.000
Mn1 Mn 0.000 0.000 0.500
Au1 Au 0.500 0.500 0.500

=====

List of relative energies, unit kJ/mol of atoms: A 0.0; B 43.2

=====

A.
# MnAuSe PBE-GGA relaxed
# M_tot   1.34 μB per atom
data_MnAuSe
_cell_length_a 3.5689
_cell_length_b 3.5689
_cell_length_c 5.3613
_cell_angle_alpha 90.00
_cell_angle_beta 90.00
_cell_angle_gamma 120.00
_symmetry_space_group_name_H-M 'P 3 m 1'
_symmetry_Int_Tables_number 156
loop_
_symmetry_equiv_pos_as_xyz
'x,y,z'
'-y,x-y,z'
'-x+y,-x,z'
'-y,-x,z'
'-x+y,y,z'
'x,x-y,z'
loop_
_atom_site_label
_atom_site_type_symbol
_atom_site_fract_x
_atom_site_fract_y
_atom_site_fract_z
Mn1 Mn 0.0000 0.0000 0.0000
Au1 Au 0.3333 0.6667 0.6803
Se1 Se 0.6667 0.3333 0.2746

=====

B.
# MnAuSe PBE-GGA relaxed
# M_tot   1.23 μB per atom
data_MnAuSe
_cell_length_a 3.136
_cell_length_b 3.136
_cell_length_c 11.156
_cell_angle_alpha 90.00
_cell_angle_beta 90.00
_cell_angle_gamma 90.00
_symmetry_space_group_name_H-M 'I 4 m m'
_symmetry_Int_Tables_number 107
_symmetry_space_group_name_Hall 'I 4 -2'
loop_
_atom_site_label
_atom_site_type_symbol
_atom_site_fract_x
_atom_site_fract_y
_atom_site_fract_z
Mn1 Mn 0.000 0.000 0.000
Au1 Au 0.000 0.000 0.659
Se1 Se 0.000 0.000 0.376

=====

List of relative energies, unit kJ/mol of atoms: A 0.0; B 10.1

=====

A.
# MnSn2Au PBE-GGA relaxed
# M_tot   0.90 μB per atom
data_MnSn2Au
_cell_length_a 5.002
_cell_length_b 5.002
_cell_length_c 3.341
_cell_angle_alpha 90.00
_cell_angle_beta 90.00
_cell_angle_gamma 90.00
_symmetry_space_group_name_H-M 'P 4/m m m'
_symmetry_Int_Tables_number 123
_symmetry_space_group_name_Hall '-P 4 2'
loop_
_atom_site_label
_atom_site_type_symbol
_atom_site_fract_x
_atom_site_fract_y
_atom_site_fract_z
Mn1 Mn 0.000 0.000 0.000
Sn1 Sn 0.000 0.500 0.500
Au1 Au 0.500 0.500 0.000

=====

B.
# MnSn2Au PBE-GGA relaxed
# M_tot   0.00 μB per atom
data_MnSn2Au
_cell_length_a 6.741
_cell_length_b 6.741
_cell_length_c 6.741
_cell_angle_alpha 90.00
_cell_angle_beta 90.00
_cell_angle_gamma 90.00
_symmetry_space_group_name_H-M 'F m -3 m'
_symmetry_Int_Tables_number 225
_symmetry_space_group_name_Hall '-F 4 2 3'
loop_
_atom_site_label
_atom_site_type_symbol
_atom_site_fract_x
_atom_site_fract_y
_atom_site_fract_z
Mn1 Mn 0.000 0.000 0.000
Sn1 Sn 0.250 0.250 0.250
Au1 Au 0.000 0.000 0.500

=====

C.
# MnSn2Au PBE-GGA relaxed
# M_tot   0.95 μB per atom
data_MnSn2Au
_cell_length_a 4.493
_cell_length_b 4.493
_cell_length_c 18.199
_cell_angle_alpha 90.00
_cell_angle_beta 90.00
_cell_angle_gamma 90.00
_symmetry_space_group_name_H-M 'I -4 2 d'
_symmetry_Int_Tables_number 122
_symmetry_space_group_name_Hall 'I -4 2bw'
loop_
_atom_site_label
_atom_site_type_symbol
_atom_site_fract_x
_atom_site_fract_y
_atom_site_fract_z
Mn1 Mn 0.000 0.000 0.000
Sn1 Sn 0.242 0.250 0.125
Au1 Au 0.000 0.000 0.500

=====

List of relative energies, unit kJ/mol of atoms: A 0.0; B 38.4; C 3.8